1.
! PBE-GGA Al2AsIr, optimized geometry; values from VASP
&SYSTEM
  ibrav = 0, nat = 4, ntyp = 3
/
ATOMIC_SPECIES
As 74.92 As.upf
Al 26.98 Al.upf
Ir 192.22 Ir.upf
ATOMIC_POSITIONS crystal
As 0.5000 0.5000 0.5000
Al 0.5000 0.5000 0.0000
Ir 0.0000 0.0000 0.5000
Al 0.0000 0.0000 0.0000
CELL_PARAMETERS angstrom
-3.0460 0.3604 0.2488
-0.7265 -3.8997 -3.2455
-0.5303 -5.1245 0.9312
! E = -21.9 eV for the cell shown

=====

2.
! PBE-GGA Al2AsIr, optimized geometry; values from VASP
&SYSTEM
  ibrav = 0, nat = 4, ntyp = 3
/
ATOMIC_SPECIES
Al 26.98 Al.upf
As 74.92 As.upf
Ir 192.22 Ir.upf
ATOMIC_POSITIONS crystal
Al 0.0594 0.0594 0.0000
As 0.4450 0.4450 0.0000
Ir 0.2415 0.7415 0.5000
Al 0.7541 0.2541 0.5000
CELL_PARAMETERS angstrom
-0.0657 -3.9951 -4.9285
4.3622 -1.6277 -4.3101
-2.2134 0.6380 5.9117
! E = -22.4 eV for the cell shown

=====

3.
! PBE-GGA Al2AsIr, optimized geometry; values from VASP
&SYSTEM
  ibrav = 0, nat = 4, ntyp = 3
/
ATOMIC_SPECIES
Al 26.98 Al.upf
As 74.92 As.upf
Ir 192.22 Ir.upf
ATOMIC_POSITIONS crystal
Al 0.2500 0.2500 0.2500
As 0.5000 0.5000 0.5000
Ir 0.7500 0.7500 0.7500
Al 0.0000 0.0000 0.0000
CELL_PARAMETERS angstrom
-0.6013 -4.3306 -0.8792
1.2561 -1.6709 -3.9394
3.5142 -2.7348 -0.2438
! E = -21.2 eV for the cell shown

=====

4.
! PBE-GGA Al2AsIr, optimized geometry; values from VASP
&SYSTEM
  ibrav = 0, nat = 4, ntyp = 3
/
ATOMIC_SPECIES
Ir 192.22 Ir.upf
Al 26.98 Al.upf
As 74.92 As.upf
ATOMIC_POSITIONS crystal
Ir 0.5000 0.5457 0.7850
Al 0.0000 0.9820 0.9131
As 0.0000 0.7065 0.4599
Al 0.5000 0.2658 0.3420
CELL_PARAMETERS angstrom
4.1241 0.0000 0.0000
0.0000 3.4897 0.0052
0.0000 1.7257 4.5303
! E = -22.4 eV for the cell shown

=====

5.
! PBE-GGA Al2AsIr, optimized geometry; values from VASP
&SYSTEM
  ibrav = 0, nat = 4, ntyp = 3
/
ATOMIC_SPECIES
Al 26.98 Al.upf
As 74.92 As.upf
Ir 192.22 Ir.upf
ATOMIC_POSITIONS crystal
Al 0.5000 0.5000 0.0000
As 0.5000 0.0000 0.5000
Ir 0.0000 0.5000 0.5000
Al 0.0000 0.0000 0.0000
CELL_PARAMETERS angstrom
-2.2501 -0.6557 -1.8924
3.1795 -1.9554 -3.1030
-0.4958 -3.8690 1.9300
! E = -21.2 eV for the cell shown

=====

6.
! PBE-GGA AlAsIr4, optimized geometry; values from VASP
&SYSTEM
  ibrav = 0, nat = 6, ntyp = 3
/
ATOMIC_SPECIES
As 74.92 As.upf
Ir 192.22 Ir.upf
Al 26.98 Al.upf
ATOMIC_POSITIONS crystal
As 0.0000 0.0000 0.0000
Ir 0.8751 0.3750 0.3750
Al 0.7500 0.7500 0.7500
Ir 0.3750 0.3750 0.8751
Ir 0.3750 0.8751 0.3750
Ir 0.3750 0.3750 0.3750
CELL_PARAMETERS angstrom
0.0000 3.6787 3.6787
3.6787 0.0000 3.6787
3.6787 3.6787 0.0000
! E = -41.5 eV for the cell shown

=====

7.
! PBE-GGA Al2AsIr, optimized geometry; values from VASP
&SYSTEM
  ibrav = 0, nat = 4, ntyp = 3
/
ATOMIC_SPECIES
Al 26.98 Al.upf
Ir 192.22 Ir.upf
As 74.92 As.upf
ATOMIC_POSITIONS crystal
Al 0.5000 0.5000 0.0000
Ir 0.7500 0.2500 0.5000
As 0.2500 0.7500 0.5000
Al 0.0000 0.0000 0.0000
CELL_PARAMETERS angstrom
-0.0524 -4.7226 0.2624
4.2937 -1.2506 1.5410
-3.0418 3.1467 1.7947
! E = -21.9 eV for the cell shown

=====

8.
! PBE-GGA Al2AsIr, optimized geometry; values from VASP
&SYSTEM
  ibrav = 0, nat = 4, ntyp = 3
/
ATOMIC_SPECIES
As 74.92 As.upf
Al 26.98 Al.upf
Ir 192.22 Ir.upf
ATOMIC_POSITIONS crystal
As 0.5000 0.5000 0.2500
Al 0.0000 0.0000 0.5218
Al 0.0000 0.0000 0.9782
Ir 0.5000 0.5000 0.7500
CELL_PARAMETERS angstrom
2.9173 0.0000 0.0000
0.0000 3.6042 0.0000
0.0000 0.0000 5.9094
! E = -22.2 eV for the cell shown

=====

9.
! PBE-GGA Al2AsIr, optimized geometry; values from VASP
&SYSTEM
  ibrav = 0, nat = 4, ntyp = 3
/
ATOMIC_SPECIES
Al 26.98 Al.upf
Ir 192.22 Ir.upf
As 74.92 As.upf
ATOMIC_POSITIONS crystal
Al 0.5000 0.5000 0.0000
Ir 0.0000 0.5000 0.5000
Al 0.0000 0.0000 0.0000
As 0.5000 0.0000 0.5000
CELL_PARAMETERS angstrom
4.2026 0.0000 0.0000
0.0000 4.2026 0.0000
0.0000 0.0000 3.5245
! E = -21.8 eV for the cell shown

=====

10.
! PBE-GGA Al2AsIr, optimized geometry; values from VASP
&SYSTEM
  ibrav = 0, nat = 4, ntyp = 3
/
ATOMIC_SPECIES
Al 26.98 Al.upf
As 74.92 As.upf
Ir 192.22 Ir.upf
ATOMIC_POSITIONS crystal
Al 0.0060 0.0060 0.0060
As 0.2500 0.2500 0.2500
Al 0.4940 0.4940 0.4940
Ir 0.7500 0.7500 0.7500
CELL_PARAMETERS angstrom
8.1755 0.0201 0.0119
7.6053 2.9997 0.0119
7.6053 1.4554 2.6231
! E = -22.1 eV for the cell shown

=====

11.
! PBE-GGA AlAs4Ir, optimized geometry; values from VASP
&SYSTEM
  ibrav = 0, nat = 6, ntyp = 3
/
ATOMIC_SPECIES
Ir 192.22 Ir.upf
As 74.92 As.upf
Al 26.98 Al.upf
ATOMIC_POSITIONS crystal
Ir 0.7500 0.7500 0.7500
As 0.3732 0.8804 0.3732
As 0.3732 0.3732 0.3732
As 0.8804 0.3732 0.3732
Al 0.0000 0.0000 0.0000
As 0.3732 0.3732 0.8804
CELL_PARAMETERS angstrom
-2.3601 -3.8268 3.0293
-4.3301 1.2240 3.0239
-4.8873 -1.9076 -1.3663
! E = -26.6 eV for the cell shown

=====

12.
! PBE-GGA Al2AsIr, optimized geometry; values from VASP
&SYSTEM
  ibrav = 0, nat = 4, ntyp = 3
/
ATOMIC_SPECIES
Al 26.98 Al.upf
As 74.92 As.upf
Ir 192.22 Ir.upf
ATOMIC_POSITIONS crystal
Al 0.9899 0.9899 0.0334
As 0.7500 0.7500 0.7500
Ir 0.2500 0.2500 0.2500
Al 0.5101 0.5101 0.4666
CELL_PARAMETERS angstrom
4.4539 -0.0272 0.0649
3.4370 2.8329 0.0649
0.9077 0.3228 5.0589
! E = -21.9 eV for the cell shown

=====

13.
! PBE-GGA AlAs2IrPd, optimized geometry; values from VASP
&SYSTEM
  ibrav = 0, nat = 5, ntyp = 4
/
ATOMIC_SPECIES
As 74.92 As.upf
Ir 192.22 Ir.upf
Pd 106.42 Pd.upf
Al 26.98 Al.upf
ATOMIC_POSITIONS crystal
As 0.0000 0.0000 0.5000
As 0.5000 0.0000 0.0000
Ir 0.0000 0.0000 0.0000
Pd 0.5000 0.5000 0.5000
Al 0.0000 0.5000 0.0000
CELL_PARAMETERS angstrom
4.8100 0.0000 0.0000
0.0000 4.7047 0.0000
0.0000 0.0000 4.8100
! E = -24.7 eV for the cell shown

=====

14.
! PBE-GGA RbAl2AsIr, optimized geometry; values from VASP
&SYSTEM
  ibrav = 0, nat = 5, ntyp = 4
/
ATOMIC_SPECIES
As 74.92 As.upf
Rb 85.47 Rb.upf
Al 26.98 Al.upf
Ir 192.22 Ir.upf
ATOMIC_POSITIONS crystal
As 0.0000 0.5000 0.0000
Rb 0.5000 0.5000 0.5000
Al 0.5000 0.0000 0.0000
Al 0.0000 0.0000 0.5000
Ir 0.0000 0.0000 0.0000
CELL_PARAMETERS angstrom
4.8270 0.0000 0.0000
0.0000 5.2855 0.0000
0.0000 0.0000 4.8270
! E = -22.0 eV for the cell shown

=====

15.
! PBE-GGA AlAsIr2S, optimized geometry; values from VASP
&SYSTEM
  ibrav = 0, nat = 5, ntyp = 4
/
ATOMIC_SPECIES
As 74.92 As.upf
S 32.06 S.upf
Al 26.98 Al.upf
Ir 192.22 Ir.upf
ATOMIC_POSITIONS crystal
As 0.0000 0.0000 0.0000
S 0.5000 0.5000 0.5000
Al 0.0000 0.5000 0.0000
Ir 0.0000 0.0000 0.5000
Ir 0.5000 0.0000 0.0000
CELL_PARAMETERS angstrom
-3.4042 -0.9458 2.9350
1.6053 -4.5404 0.3988
2.6796 1.2559 3.5127
! formation energy (no corrections) = 1.133 eV per atom

=====

16.
! PBE-GGA AlSb2AsIr, optimized geometry; values from VASP
&SYSTEM
  ibrav = 0, nat = 5, ntyp = 4
/
ATOMIC_SPECIES
Sb 121.76 Sb.upf
Ir 192.22 Ir.upf
Al 26.98 Al.upf
As 74.92 As.upf
ATOMIC_POSITIONS crystal
Sb 0.5000 0.0000 0.0000
Ir 0.0000 0.5000 0.0000
Sb 0.0000 0.0000 0.5000
Al 0.0000 0.0000 0.0000
As 0.5000 0.5000 0.5000
CELL_PARAMETERS angstrom
-3.7855 3.4761 1.0051
-2.8132 -2.2710 -2.7411
-1.5970 -2.9103 4.0501
! formation energy (no corrections) = 0.913 eV per atom

=====

17.
! PBE-GGA AlAs2IrSe, optimized geometry; values from VASP
&SYSTEM
  ibrav = 0, nat = 5, ntyp = 4
/
ATOMIC_SPECIES
Se 78.96 Se.upf
As 74.92 As.upf
Ir 192.22 Ir.upf
Al 26.98 Al.upf
ATOMIC_POSITIONS crystal
Se 0.0000 0.0000 0.5000
As 0.0000 0.5000 0.0000
Ir 0.0000 0.0000 0.0000
As 0.5000 0.0000 0.0000
Al 0.5000 0.5000 0.5000
CELL_PARAMETERS angstrom
4.6888 0.0000 0.0000
0.0000 4.6888 0.0000
0.0000 0.0000 5.4837
! energy relative to the lowest polymorph listed for this composition = 0.0000 eV per atom
! formation energy (no corrections) = 0.549 eV per atom

=====

18.
! PBE-GGA AlAsIrSe2, optimized geometry; values from VASP
&SYSTEM
  ibrav = 0, nat = 5, ntyp = 4
/
ATOMIC_SPECIES
Se 78.96 Se.upf
As 74.92 As.upf
Ir 192.22 Ir.upf
Al 26.98 Al.upf
ATOMIC_POSITIONS crystal
Se 0.5000 0.0000 0.0000
Se 0.0000 0.5000 0.0000
As 0.0000 0.0000 0.5000
Ir 0.5000 0.5000 0.5000
Al 0.0000 0.0000 0.0000
CELL_PARAMETERS angstrom
-1.9556 1.6690 -3.9498
3.9286 -1.0422 -2.3855
-1.7121 -4.2670 -0.9553
! energy relative to the lowest polymorph listed for this composition = 0.4154 eV per atom
! formation energy (no corrections) = 0.918 eV per atom

=====

19.
! PBE-GGA AlAsIrSe2, optimized geometry; values from VASP
&SYSTEM
  ibrav = 0, nat = 5, ntyp = 4
/
ATOMIC_SPECIES
Se 78.96 Se.upf
As 74.92 As.upf
Al 26.98 Al.upf
Ir 192.22 Ir.upf
ATOMIC_POSITIONS crystal
Se 0.0000 0.5000 0.0000
As 0.0000 0.0000 0.5000
Al 0.5000 0.5000 0.5000
Se 0.5000 0.0000 0.0000
Ir 0.0000 0.0000 0.0000
CELL_PARAMETERS angstrom
5.1577 0.0000 0.0000
0.0000 5.1577 0.0000
0.0000 0.0000 4.5643
! energy relative to the lowest polymorph listed for this composition = 0.0000 eV per atom
! formation energy (no corrections) = 0.503 eV per atom

=====

20.
! PBE-GGA AlAs2IrSe, optimized geometry; values from VASP
&SYSTEM
  ibrav = 0, nat = 5, ntyp = 4
/
ATOMIC_SPECIES
As 74.92 As.upf
Ir 192.22 Ir.upf
Se 78.96 Se.upf
Al 26.98 Al.upf
ATOMIC_POSITIONS crystal
As 0.0000 0.5000 0.0000
Ir 0.5000 0.5000 0.5000
Se 0.0000 0.0000 0.5000
Al 0.0000 0.0000 0.0000
As 0.5000 0.0000 0.0000
CELL_PARAMETERS angstrom
-2.8738 3.5805 0.8481
-3.6795 -2.8009 -0.6432
0.0158 -1.0798 4.6120
! energy relative to the lowest polymorph listed for this composition = 0.4339 eV per atom
! formation energy (no corrections) = 0.983 eV per atom

=====

21.
! PBE-GGA TaAlAsIr2, optimized geometry; values from VASP
&SYSTEM
  ibrav = 0, nat = 5, ntyp = 4
/
ATOMIC_SPECIES
As 74.92 As.upf
Al 26.98 Al.upf
Ir 192.22 Ir.upf
Ta 180.95 Ta.upf
ATOMIC_POSITIONS crystal
As 0.0000 0.5000 0.0000
Al 0.0000 0.0000 0.0000
Ir 0.5000 0.0000 0.0000
Ir 0.0000 0.0000 0.5000
Ta 0.5000 0.5000 0.5000
CELL_PARAMETERS angstrom
-3.1978 -3.1039 0.0535
2.7913 -2.8349 2.3694
-1.5555 1.6685 3.8288
! E = -32.8 eV for the cell shown

=====

22.
! PBE-GGA TiAlAs2Ir, optimized geometry; values from VASP
&SYSTEM
  ibrav = 0, nat = 5, ntyp = 4
/
ATOMIC_SPECIES
As 74.92 As.upf
Al 26.98 Al.upf
Ti 47.87 Ti.upf
Ir 192.22 Ir.upf
ATOMIC_POSITIONS crystal
As 0.5000 0.0000 0.0000
Al 0.0000 0.0000 0.0000
As 0.0000 0.0000 0.5000
Ti 0.0000 0.5000 0.0000
Ir 0.5000 0.5000 0.5000
CELL_PARAMETERS angstrom
-0.3214 4.5843 0.2063
-1.7200 0.0744 -4.3325
-4.2636 -0.3748 1.6862
! E = -24.5 eV for the cell shown

=====

23.
! PBE-GGA KAlAs2, optimized geometry; values from VASP
&SYSTEM
  ibrav = 0, nat = 4, ntyp = 3
/
ATOMIC_SPECIES
As 74.92 As.upf
K 39.10 K.upf
Al 26.98 Al.upf
ATOMIC_POSITIONS crystal
As 0.5000 0.5000 0.0000
K 0.5000 0.0000 0.5000
As 0.0000 0.0000 0.0000
Al 0.0000 0.5000 0.5000
CELL_PARAMETERS angstrom
-4.2445 0.2432 3.7781
0.6314 -5.2211 -2.1658
1.8852 -0.6684 2.1609
! E = -13.5 eV for the cell shown

=====

24.
! PBE-GGA KAlAs2, optimized geometry; values from VASP
&SYSTEM
  ibrav = 0, nat = 4, ntyp = 3
/
ATOMIC_SPECIES
As 74.92 As.upf
K 39.10 K.upf
Al 26.98 Al.upf
ATOMIC_POSITIONS crystal
As 0.0000 0.0000 0.5756
As 0.0000 0.0000 0.9244
K 0.5000 0.5000 0.2500
Al 0.5000 0.5000 0.7500
CELL_PARAMETERS angstrom
-0.8704 1.9563 3.0076
2.9010 -1.4373 1.7745
3.9860 5.2519 -2.2626
! E = -14.7 eV for the cell shown

=====

25.
! PBE-GGA KAl2As, optimized geometry; values from VASP
&SYSTEM
  ibrav = 0, nat = 8, ntyp = 3
/
ATOMIC_SPECIES
Al 26.98 Al.upf
K 39.10 K.upf
As 74.92 As.upf
ATOMIC_POSITIONS crystal
Al 0.8750 0.9486 0.7500
Al 0.3750 0.3014 0.7500
K 0.5000 0.5000 0.0000
As 0.0000 0.0000 0.0000
Al 0.0514 0.6250 0.2500
As 0.7500 0.2500 0.5000
Al 0.6986 0.1250 0.2500
K 0.2500 0.7500 0.5000
CELL_PARAMETERS angstrom
-0.8008 7.2336 -3.8982
-8.1693 -1.1225 -0.4047
-4.8102 4.4590 0.5196
! E = -25.9 eV for the cell shown

=====

26.
! PBE-GGA KAlAs2, optimized geometry; values from VASP
&SYSTEM
  ibrav = 0, nat = 4, ntyp = 3
/
ATOMIC_SPECIES
K 39.10 K.upf
As 74.92 As.upf
Al 26.98 Al.upf
ATOMIC_POSITIONS crystal
K 0.0000 0.6315 0.4698
As 0.5000 0.0844 0.1807
Al 0.5000 0.5577 0.9719
As 0.0000 0.2264 0.8776
CELL_PARAMETERS angstrom
4.0050 0.0000 0.0000
0.0000 4.2010 -0.2107
0.0000 -0.6403 6.7856
! E = -14.8 eV for the cell shown

=====

27.
! PBE-GGA KAl2As, optimized geometry; values from VASP
&SYSTEM
  ibrav = 0, nat = 4, ntyp = 3
/
ATOMIC_SPECIES
K 39.10 K.upf
As 74.92 As.upf
Al 26.98 Al.upf
ATOMIC_POSITIONS crystal
K 0.2500 0.7500 0.5000
As 0.7500 0.2500 0.5000
Al 0.9511 0.9511 0.0000
Al 0.5489 0.5489 0.0000
CELL_PARAMETERS angstrom
6.3498 0.0435 0.0372
2.9198 5.6388 -0.0372
-3.7113 -4.3476 2.7653
! E = -12.9 eV for the cell shown

=====

28.
! PBE-GGA KAl2As, optimized geometry; values from VASP
&SYSTEM
  ibrav = 0, nat = 4, ntyp = 3
/
ATOMIC_SPECIES
Al 26.98 Al.upf
K 39.10 K.upf
As 74.92 As.upf
ATOMIC_POSITIONS crystal
Al 0.2447 0.2447 0.2491
K 0.7590 0.7590 0.7408
Al 0.9819 0.9819 0.1184
As 0.5143 0.5143 0.3916
CELL_PARAMETERS angstrom
4.6287 -0.0073 -0.0089
3.1036 3.4340 -0.0089
1.3474 0.5971 6.8045
! E = -13.6 eV for the cell shown

=====

29.
! PBE-GGA KAl2As, optimized geometry; values from VASP
&SYSTEM
  ibrav = 0, nat = 4, ntyp = 3
/
ATOMIC_SPECIES
As 74.92 As.upf
Al 26.98 Al.upf
K 39.10 K.upf
ATOMIC_POSITIONS crystal
As 0.2500 0.7500 0.5000
Al 0.5000 0.5000 0.0000
Al 0.0000 0.0000 0.0000
K 0.7500 0.2500 0.5000
CELL_PARAMETERS angstrom
5.6123 -0.0017 0.0000
2.0418 5.2278 0.0000
-3.8271 -2.6130 3.1661
! E = -11.9 eV for the cell shown